1.
Crystalline PaAlCd at its relaxed geometry. Source: OQMD via LeMat-Bulk, functional GGA-PBE.

Unit cell a=4.920 b=4.920 c=4.920 alpha=60.00 beta=60.00 gamma=60.00
Element x y z (fractional)
Cd1 0.750 0.750 0.750
Pa1 0.000 0.000 0.000
Al1 0.250 0.250 0.250

=====

2.
Crystalline PaAlCd at its relaxed geometry. Source: OQMD via LeMat-Bulk, functional GGA-PBE.

Unit cell a=4.741 b=4.741 c=4.741 alpha=60.00 beta=60.00 gamma=60.00
Last column: magnetic moment on the atom in μB.
Element x y z (fractional)
Pa1 0.750 0.750 0.750  0.81
Al1 0.000 0.000 0.000  0.01
Cd1 0.250 0.250 0.250  0.01

=====

3.
Crystalline AlCdPb at its relaxed geometry. Source: OQMD via LeMat-Bulk, functional GGA-PBE.

Unit cell a=4.832 b=4.832 c=4.832 alpha=60.00 beta=60.00 gamma=60.00
Element x y z (fractional)
Pb1 0.750 0.750 0.750
Al1 0.000 0.000 0.000
Cd1 0.250 0.250 0.250

=====

no.,calculated total energy (eV for the cell shown),mass density (g/cm3)
1,-12.0,7.306
2,-13.0,8.164
3,-7.8,7.216